[1]
Computed, not measured: an optimized crystal structure of ThPaP at the GGA-PBE level of DFT.

abc: 3.536 3.536 11.803
angles: 90.00 90.00 90.00
Fractional positions:
Th1 0.000 0.000 0.000
Th2 0.500 0.500 0.500
Pa1 0.000 0.000 0.272
Pa2 0.500 0.500 0.772
P1 0.000 0.000 0.650
P2 0.500 0.500 0.150

## Properties
E above lowest polymorph in eV per formula unit: 0.10
Calculated formation energy in eV per formula unit: -1.57
Calculated total energy in eV for the cell shown: -47.8
Total moment in μB per formula unit: 0.00
Density of states at the Fermi level in states/eV per atom: 1.358


[2]
Computed, not measured: an optimized crystal structure of Na2ErAlTe4 at the GGA-PBE level of DFT.

abc: 8.765 8.765 8.765
angles: 121.89 118.71 89.50
Fractional positions:
Na1 0.000 0.000 0.000
Na2 0.500 0.000 0.000
Na3 0.500 0.000 0.500
Na4 0.500 0.500 0.500
Er1 0.000 0.500 0.500
Er2 0.500 0.500 0.000
Al1 0.000 0.000 0.500
Al2 0.000 0.500 0.000
Te1 0.212 0.747 0.465
Te2 0.218 0.253 0.965
Te3 0.237 0.243 0.506
Te4 0.237 0.732 0.994
Te5 0.763 0.268 0.006
Te6 0.763 0.757 0.494
Te7 0.782 0.747 0.035
Te8 0.788 0.253 0.535

## Properties
Calculated total energy in eV for the cell shown: -61.5
Total moment in μB per formula unit: 0.00
Density of states at the Fermi level in states/eV per atom: 0.068
Uncorrected formation energy in eV/atom: -0.91


[3]
Computed, not measured: an optimized crystal structure of HoMgGaSn at the GGA-PBE level of DFT.

abc: 7.209 7.209 7.209
angles: 90.00 90.00 90.00
Fractional positions:
Ho1 0.000 0.000 0.000
Ho2 0.000 0.500 0.500
Ho3 0.500 0.000 0.500
Ho4 0.500 0.500 0.000
Mg1 0.000 0.000 0.500
Mg2 0.000 0.500 0.000
Mg3 0.500 0.000 0.000
Mg4 0.500 0.500 0.500
Ga1 0.250 0.250 0.750
Ga2 0.250 0.750 0.250
Ga3 0.750 0.250 0.250
Ga4 0.750 0.750 0.750
Sn1 0.250 0.250 0.250
Sn2 0.250 0.750 0.750
Sn3 0.750 0.250 0.750
Sn4 0.750 0.750 0.250

## Properties
E above lowest polymorph in eV per formula unit: 0.67
Calculated formation energy in eV per formula unit: -1.21
Calculated total energy in eV for the cell shown: -57.6
Total moment in μB per formula unit: 0.00
Density of states at the Fermi level in states/eV per atom: 0.894


[4]
Computed, not measured: an optimized crystal structure of Na3Hg3Pb2 at the GGA-PBE level of DFT.

abc: 21.013 4.363 4.882
angles: 90.00 103.12 90.00
Fractional positions:
Na1 0.000 0.000 0.000
Na2 0.123 0.000 0.624
Na3 0.377 0.500 0.376
Na4 0.500 0.500 0.000
Na5 0.623 0.500 0.624
Na6 0.877 0.000 0.376
Hg1 0.000 0.500 0.500
Hg2 0.117 0.500 0.118
Hg3 0.383 0.000 0.882
Hg4 0.500 0.000 0.500
Hg5 0.617 0.000 0.118
Hg6 0.883 0.500 0.882
Pb1 0.243 0.000 0.243
Pb2 0.257 0.500 0.757
Pb3 0.743 0.500 0.243
Pb4 0.757 0.000 0.757

## Properties
Calculated formation energy in eV per formula unit: -1.49
Calculated total energy in eV for the cell shown: -27.5
Total moment in μB per formula unit: 0.00
Density of states at the Fermi level in states/eV per atom: 0.306


[5]
Computed, not measured: an optimized crystal structure of Ac2SeI2 at the GGA-PBE level of DFT.

abc: 8.017 8.017 9.000
angles: 111.85 111.85 49.37
Fractional positions:
Ac1 0.001 0.001 0.253
Ac2 0.336 0.336 0.913
Ac3 0.664 0.664 0.087
Ac4 0.999 0.999 0.747
Se1 0.152 0.152 0.602
Se2 0.848 0.848 0.398
I1 0.201 0.201 0.140
I2 0.478 0.478 0.698
I3 0.522 0.522 0.302
I4 0.799 0.799 0.860

## Properties
E above lowest polymorph in eV per formula unit: 1.51
Calculated total energy in eV for the cell shown: -42.7
Total moment in μB per formula unit: 0.00
Density of states at the Fermi level in states/eV per atom: 0.667
Uncorrected formation energy in eV/atom: -1.31


[6]
Computed, not measured: an optimized crystal structure of Pu6PSe3S2 at the GGA-PBE level of DFT.

abc: 7.033 7.033 7.080
angles: 99.53 99.53 120.04
Fractional positions:
Pu1 0.089 0.422 0.765
Pu2 0.245 0.245 0.235
Pu3 0.422 0.089 0.765
Pu4 0.578 0.911 0.235
Pu5 0.755 0.755 0.765
Pu6 0.911 0.578 0.235
P1 0.500 0.500 0.000
Se1 0.000 0.000 0.500
Se2 0.334 0.666 0.500
Se3 0.666 0.334 0.500
S1 0.167 0.833 0.000
S2 0.833 0.167 0.000

## Properties
Calculated total energy in eV for the cell shown: -128.8
Total moment in μB per formula unit: 33.58
Density of states at the Fermi level in states/eV per atom: 4.419
Uncorrected formation energy in eV/atom: -1.56


[7]
Computed, not measured: an optimized crystal structure of NbRhW at the GGA-PBE level of DFT.

abc: 8.256 5.196 5.462
angles: 90.00 123.53 90.00
Fractional positions:
Nb1 0.163 0.000 0.487
Nb2 0.337 0.500 0.513
Nb3 0.663 0.500 0.487
Nb4 0.837 0.000 0.513
Rh1 0.000 0.299 0.000
Rh2 0.000 0.467 0.500
Rh3 0.500 0.799 0.000
Rh4 0.500 0.967 0.500
W1 0.156 0.765 0.977
W2 0.344 0.265 0.023
W3 0.656 0.265 0.977
W4 0.844 0.765 0.023

## Properties
E above lowest polymorph in eV per formula unit: 0.43
Calculated formation energy in eV per formula unit: -0.17
Calculated total energy in eV for the cell shown: -122.2
Total moment in μB per formula unit: 0.00
Density of states at the Fermi level in states/eV per atom: 0.679


[8]
Computed, not measured: an optimized crystal structure of AuBr3F12 at the GGA-PBE level of DFT.

abc: 8.208 8.233 9.254
angles: 78.71 82.47 78.27
Fractional positions:
Au1 0.000 0.000 0.000
Au2 0.500 0.499 0.499
Br1 0.062 0.423 0.753
Br2 0.263 0.936 0.550
Br3 0.415 0.732 0.109
Br4 0.586 0.268 0.891
Br5 0.736 0.061 0.452
Br6 0.939 0.577 0.247
F1 0.031 0.237 0.967
F2 0.098 0.579 0.592
F3 0.110 0.125 0.518
F4 0.146 0.448 0.199
F5 0.151 0.885 0.742
F6 0.203 0.939 0.114
F7 0.277 0.297 0.699
F8 0.353 0.621 0.342
F9 0.369 0.994 0.361
F10 0.413 0.438 0.900
F11 0.463 0.823 0.920
F12 0.466 0.700 0.594
F13 0.535 0.298 0.404
F14 0.539 0.179 0.079
F15 0.588 0.563 0.099
F16 0.627 0.006 0.640
F17 0.648 0.377 0.657
F18 0.724 0.702 0.302
F19 0.798 0.061 0.885
F20 0.850 0.108 0.261
F21 0.855 0.552 0.799
F22 0.886 0.871 0.488
F23 0.903 0.419 0.407
F24 0.969 0.763 0.033

## Properties
Calculated total energy in eV for the cell shown: -91.1
Total moment in μB per formula unit: 0.00
Uncorrected formation energy in eV/atom: -0.93